(1)
Ba2In2Hg (GGA-PBE, optimized geometry); ΔE to the lowest computed polymorph = 0.0152 eV per atom; E_tot = -2.3415 eV per atom; symmetry = C2/m
1.0
6.713 -2.668 0.000
6.713 2.668 0.000
-4.023 0.000 9.839
Ba In Hg
4 4 2
direct
0.108 0.108 0.392 Ba
0.155 0.155 0.025 Ba
0.845 0.845 0.975 Ba
0.892 0.892 0.608 Ba
0.401 0.401 0.346 In
0.471 0.471 0.850 In
0.529 0.529 0.150 In
0.599 0.599 0.654 In
0.225 0.225 0.735 Hg
0.775 0.775 0.265 Hg

=====

(2)
SrLi2TlF (GGA-PBE, optimized geometry); E_tot = -3.1155 eV per atom; formation energy from raw total energies = -1166 meV/atom; symmetry = P4/mmm
1.0
4.741 0.000 0.000
0.000 4.741 0.000
0.000 0.000 4.973
Sr Li Tl F
1 2 1 1
direct
0.000 0.000 0.000 Sr
0.000 0.500 0.500 Li
0.500 0.000 0.500 Li
0.500 0.500 0.000 Tl
0.000 0.000 0.500 F

=====

Number 1: total magnetic moment 0.000 Bohr magnetons per cell. Number 2: total magnetic moment 0.000 Bohr magnetons per cell.